(1)
This record from the Alexandria database describes a geometry-optimized La3PrSn structure. The functional is PBE-GGA.

Computed properties:
Volume (Å³ per cell): 358.66
SG: Cmmm, No. 65
Formation enthalpy at 0 K (eV per atom): 0.158
VASP energy (eV per formula unit): -22.772
Total moment (Bohr magnetons per cell): 0.00

Cell: 9.010 9.010 5.388 Å, 90.00 90.00 124.93°
Element x y z (fractional)
La 0.000 0.500 0.500
La 0.157 0.843 0.000
La 0.323 0.323 0.500
La 0.500 0.000 0.500
La 0.677 0.677 0.500
La 0.843 0.157 0.000
Pr 0.092 0.908 0.500
Pr 0.908 0.092 0.500
Sn 0.365 0.635 0.000
Sn 0.635 0.365 0.000

=====

(2)
This record from the Alexandria database describes a geometry-optimized LaPr7Sn2 structure. The functional is PBE-GGA.

Computed properties:
Volume (Å³ per cell): 429.70
SG: Cmmm, No. 65
Formation enthalpy at 0 K (eV per atom): 0.135
VASP energy (eV per formula unit): -45.037
Total moment (Bohr magnetons per cell): 1.33

Cell: 9.157 9.157 5.845 Å, 90.00 90.00 118.75°
Element x y z (fractional)
La 0.000 0.000 0.000
Pr 0.055 0.304 0.500
Pr 0.239 0.761 0.000
Pr 0.304 0.055 0.500
Pr 0.500 0.500 0.500
Pr 0.696 0.945 0.500
Pr 0.761 0.239 0.000
Pr 0.945 0.696 0.500
Sn 0.303 0.697 0.500
Sn 0.697 0.303 0.500

=====

(3)
This record from the Alexandria database describes a geometry-optimized La5PrSn3 structure. The functional is PBE-GGA.

Computed properties:
Volume (Å³ per cell): 583.52
SG: I4/mcm, No. 140
Formation enthalpy at 0 K (eV per atom): -0.397
VASP energy (eV per formula unit): -44.997
Total moment (Bohr magnetons per cell): 0.44

Cell: 10.191 10.191 10.191 Å, 131.37 131.37 71.23°
Element x y z (fractional)
La 0.000 0.000 0.000
La 0.055 0.555 0.884
La 0.170 0.055 0.500
La 0.330 0.830 0.884
La 0.445 0.330 0.500
La 0.500 0.500 0.000
La 0.555 0.670 0.500
La 0.670 0.170 0.116
La 0.830 0.945 0.500
La 0.945 0.445 0.116
Pr 0.250 0.750 0.500
Pr 0.750 0.250 0.500
Sn 0.120 0.380 0.500
Sn 0.250 0.250 0.000
Sn 0.380 0.880 0.260
Sn 0.620 0.120 0.740
Sn 0.750 0.750 0.000
Sn 0.880 0.620 0.500

=====

(4)
This record from the Alexandria database describes a geometry-optimized La8Pr5Sn structure. The functional is PBE-GGA.

Computed properties:
Volume (Å³ per cell): 507.48
SG: C2, No. 5
Formation enthalpy at 0 K (eV per atom): 0.009
VASP energy (eV per formula unit): -67.187
Total moment (Bohr magnetons per cell): 0.00

Cell: 9.131 9.131 8.791 Å, 118.60 118.60 55.38°
Element x y z (fractional)
La 0.075 0.569 0.073
La 0.118 0.118 0.202
La 0.366 0.235 0.727
La 0.431 0.925 0.927
La 0.568 0.098 0.413
La 0.765 0.634 0.273
La 0.882 0.882 0.798
La 0.902 0.432 0.587
Pr 0.010 0.990 0.500
Pr 0.246 0.559 0.537
Pr 0.441 0.754 0.463
Pr 0.623 0.279 0.176
Pr 0.721 0.377 0.824
Sn 0.346 0.654 0.000

=====

(5)
This record from the Alexandria database describes a geometry-optimized La2PrSn9 structure. The functional is PBE-GGA.

Computed properties:
Volume (Å³ per cell): 332.27
SG: P4/mmm, No. 123
Formation enthalpy at 0 K (eV per atom): -0.554
VASP energy (eV per formula unit): -57.307
Total moment (Bohr magnetons per cell): 0.00

Cell: 4.808 4.808 14.375 Å, 90.00 90.00 90.00°
Element x y z (fractional)
La 0.000 0.000 0.167
La 0.000 0.000 0.833
Pr 0.000 0.000 0.500
Sn 0.000 0.500 0.000
Sn 0.000 0.500 0.334
Sn 0.000 0.500 0.666
Sn 0.500 0.000 0.000
Sn 0.500 0.000 0.334
Sn 0.500 0.000 0.666
Sn 0.500 0.500 0.167
Sn 0.500 0.500 0.500
Sn 0.500 0.500 0.833

=====

(6)
This record from the Alexandria database describes a geometry-optimized LaPr2Sn structure. The functional is PBE-GGA.

Computed properties:
Volume (Å³ per cell): 125.33
SG: P4/mmm, No. 123
Formation enthalpy at 0 K (eV per atom): -0.467
VASP energy (eV per formula unit): -20.357
Total moment (Bohr magnetons per cell): 0.00

Cell: 5.039 5.039 4.936 Å, 90.00 90.00 90.00°
Element x y z (fractional)
La 0.000 0.000 0.000
Pr 0.000 0.500 0.500
Pr 0.500 0.000 0.500
Sn 0.500 0.500 0.000

=====

(7)
This record from the Alexandria database describes a geometry-optimized La8Pr2Sn structure. The functional is PBE-GGA.

Computed properties:
Volume (Å³ per cell): 386.76
SG: C2/m, No. 12
Formation enthalpy at 0 K (eV per atom): -0.071
VASP energy (eV per formula unit): -53.762
Total moment (Bohr magnetons per cell): 0.00

Cell: 9.559 9.559 6.490 Å, 101.10 101.10 41.80°
Element x y z (fractional)
La 0.007 0.007 0.258
La 0.081 0.588 0.933
La 0.393 0.393 0.466
La 0.412 0.919 0.067
La 0.588 0.081 0.933
La 0.607 0.607 0.534
La 0.919 0.412 0.067
La 0.993 0.993 0.742
Pr 0.191 0.191 0.569
Pr 0.809 0.809 0.431
Sn 0.500 0.500 0.000

=====

(8)
This record from the Alexandria database describes a geometry-optimized LaPr5Sn3 structure. The functional is PBE-GGA.

Computed properties:
Volume (Å³ per cell): 562.51
SG: P6_3/mcm, No. 193
Formation enthalpy at 0 K (eV per atom): -0.588
VASP energy (eV per formula unit): -46.122
Total moment (Bohr magnetons per cell): 5.31

Cell: 9.742 9.742 6.844 Å, 90.00 90.00 120.00°
Element x y z (fractional)
La 0.000 0.000 0.000
La 0.000 0.000 0.500
Pr 0.000 0.333 0.250
Pr 0.000 0.667 0.750
Pr 0.333 0.000 0.250
Pr 0.333 0.333 0.750
Pr 0.333 0.667 0.000
Pr 0.333 0.667 0.500
Pr 0.667 0.000 0.750
Pr 0.667 0.333 0.000
Pr 0.667 0.333 0.500
Pr 0.667 0.667 0.250
Sn 0.000 0.334 0.750
Sn 0.000 0.666 0.250
Sn 0.334 0.000 0.750
Sn 0.334 0.334 0.250
Sn 0.666 0.000 0.250
Sn 0.666 0.666 0.750